First-principles (PBE) data for a relaxed Na2SmTlO4 crystal, as listed in Alexandria.

a b c (Å): 5.929 3.483 6.025
angles (deg): 90.00 109.70 90.00
Element x y z (fractional)
Na 0.000 0.000 0.000
Na 0.500 0.500 0.000
Sm 0.000 0.500 0.500
Tl 0.500 0.000 0.500
O 0.234 0.000 0.724
O 0.264 0.500 0.276
O 0.736 0.500 0.724
O 0.766 0.000 0.276

Output
volume = 117.13 Å³/cell
crystal system = monoclinic
space-group type = P2/m, No. 10
formation energy without anion corrections = -1.85 eV per atom